Entry from the Alexandria database: a relaxed RuRhPb2 crystal (PBEsol).

Summary:
volume = 149.7 Å³/cell
total moment = 0.00 μB per formula unit
total energy = -49.3 eV for the cell shown

CIF file:
```
data_RuRhPb2
_chemical_formula_sum 'Ru2 Rh2 Pb4'
_space_group_name_H-M_alt 'I m m 2'
_space_group_IT_number 44
_space_group_name_Hall 'I 2 -2'
_cell_length_a 3.2719
_cell_length_b 4.3772
_cell_length_c 10.4542
_cell_angle_alpha 90.00
_cell_angle_beta 90.00
_cell_angle_gamma 90.00
loop_
_atom_site_label
_atom_site_fract_x
_atom_site_fract_y
_atom_site_fract_z
Ru1 0.0000 0.0000 0.0000
Rh1 0.0000 0.5000 0.2332
Pb1 0.0000 0.0000 0.4935
Pb2 0.0000 0.5000 0.7245
```

---

Entry from the Alexandria database: a relaxed La2YZr crystal (PBEsol).

Summary:
volume = 349.9 Å³/cell
total moment = 0.00 μB per formula unit
total energy = -78.3 eV for the cell shown

CIF file:
```
data_La2YZr
_chemical_formula_sum 'La6 Y3 Zr3'
_space_group_name_H-M_alt 'R -3 m'
_space_group_IT_number 166
_space_group_name_Hall '-R 3 2"'
_cell_length_a 3.4775
_cell_length_b 3.4775
_cell_length_c 33.4129
_cell_angle_alpha 90.00
_cell_angle_beta 90.00
_cell_angle_gamma 120.00
loop_
_atom_site_label
_atom_site_fract_x
_atom_site_fract_y
_atom_site_fract_z
La1 0.0000 0.0000 0.2456
Y1 0.0000 0.0000 0.0000
Zr1 0.0000 0.0000 0.5000
```

---

Entry from the Alexandria database: a relaxed Ba2LaIn crystal (PBEsol).

Summary:
volume = 165.2 Å³/cell
total moment = 0.01 μB per formula unit
total energy = -13.4 eV for the cell shown

CIF file:
```
data_Ba2LaIn
_chemical_formula_sum 'Ba2 La1 In1'
_space_group_name_H-M_alt 'P 4 m m'
_space_group_IT_number 99
_space_group_name_Hall 'P 4 -2'
_cell_length_a 4.0906
_cell_length_b 4.0906
_cell_length_c 9.8754
_cell_angle_alpha 90.00
_cell_angle_beta 90.00
_cell_angle_gamma 90.00
loop_
_atom_site_label
_atom_site_fract_x
_atom_site_fract_y
_atom_site_fract_z
Ba1 0.0000 0.0000 0.0000
Ba2 0.5000 0.5000 0.3472
La1 0.5000 0.5000 0.7292
In1 0.0000 0.0000 0.5675
```

---

Entry from the Alexandria database: a relaxed CsHf2Br9 crystal (PBEsol).

Summary:
volume = 808.2 Å³/cell
formation energy from raw total energies = -17.798 eV per formula unit
total moment = 0.00 μB per formula unit
total energy = -113.2 eV for the cell shown

CIF file:
```
data_CsHf2Br9
_chemical_formula_sum 'Cs2 Hf4 Br18'
_space_group_name_H-M_alt 'P 1 2/c 1'
_space_group_IT_number 13
_space_group_name_Hall '-P 2yc'
_cell_length_a 10.0039
_cell_length_b 6.7759
_cell_length_c 12.9757
_cell_angle_alpha 90.00
_cell_angle_beta 113.24
_cell_angle_gamma 90.00
loop_
_atom_site_label
_atom_site_fract_x
_atom_site_fract_y
_atom_site_fract_z
Cs1 0.0000 0.0905 0.2500
Hf1 0.3238 0.2438 0.6329
Br1 0.1087 0.3948 0.6556
Br2 0.2047 0.0799 0.0556
Br3 0.2935 0.4007 0.4520
Br4 0.4148 0.0915 0.8445
Br5 0.5000 0.4613 0.2500
```